<i>
{"formula": "NbTeHPd", "functional": "PBE-GGA", "state": "optimized geometry", "spacegroup": "Pmm2, No. 25", "lattice": [[3.391, 0.000, 0.000], [0.000, 4.328, 0.000], [0.000, 0.000, 4.722]], "species": ["Nb", "Te", "H", "Pd"], "frac_coords": [[0.000, 0.000, 0.000], [0.500, 0.000, 0.472], [0.000, 0.500, 0.985], [0.500, 0.500, 0.820]]}

***

<ii>
{"formula": "NbTeHPd", "functional": "PBE-GGA", "state": "optimized geometry", "spacegroup": "P3m1, No. 156", "lattice": [[3.374, 0.000, 0.000], [-1.687, 2.922, 0.000], [0.000, 0.000, 6.891]], "species": ["Nb", "Te", "H", "Pd"], "frac_coords": [[0.000, 0.000, 0.000], [0.333, 0.667, 0.715], [0.333, 0.667, 0.090], [0.333, 0.667, 0.333]]}

***

Most favorable first, least favorable last: <ii>, <i>